(1)
A relaxed SrZr2Pt crystal. Source: the Alexandria database, functional GGA-PBE.

Calculated values
Final energy in eV per atom: -6.328
Total magnetic moment in μB per formula unit: 0.00
ΔH_f (0 K) in meV/atom: -123.7
N(E_F) in states/eV/atom: 1.579
ρ in g/cm3: 7.34

Unit cell a=3.4779 b=3.4779 c=8.7046 alpha=90.00 beta=90.00 gamma=90.00
With the nearest neighbours (Å) after each atom.
Space group P4/mmm (No. 123)
Symmetry-distinct sites (fractional):
Sr (0.0000, 0.0000, 0.0000) (multiplicity 1)  4 Sr 3.48, 8 Zr 3.79
Zr (0.5000, 0.5000, 0.3307) (multiplicity 2)  4 Pt 2.87, 1 Zr 2.95
Pt (0.0000, 0.0000, 0.5000) (multiplicity 1)  8 Zr 2.87

(2)
A relaxed BaCu2PdRh crystal. Source: the Alexandria database, functional GGA-PBE.

Calculated values
Final energy in eV per atom: -4.202
Total magnetic moment in μB per formula unit: 0.83
ΔH_f (0 K) in meV/atom: 329.5
N(E_F) in states/eV/atom: 0.664
ρ in g/cm3: 6.77

Unit cell a=4.8143 b=4.8143 c=5.0107 alpha=90.00 beta=90.00 gamma=90.00
With the nearest neighbours (Å) after each atom.
Space group P4/mmm (No. 123)
Symmetry-distinct sites (fractional):
Ba (0.0000, 0.0000, 0.0000) (multiplicity 1)  4 Rh 3.40, 8 Cu 3.47
Cu (0.0000, 0.5000, 0.5000) (multiplicity 2)  2 Pd 2.41
Pd (0.5000, 0.5000, 0.5000) (multiplicity 1)  4 Cu 2.41, 2 Rh 2.51
Rh (0.5000, 0.5000, 0.0000) (multiplicity 1)  2 Pd 2.51

(3)
A relaxed SiWBr crystal. Source: the Alexandria database, functional GGA-PBE.

Calculated values
Final energy in eV per atom: -6.030
Total magnetic moment in μB per formula unit: 0.81
N(E_F) in states/eV/atom: 0.642
ρ in g/cm3: 7.85

Unit cell a=3.1388 b=3.1388 c=12.5271 alpha=90.00 beta=90.00 gamma=90.00
With the nearest neighbours (Å) after each atom.
Space group I4mm (No. 107)
Symmetry-distinct sites (fractional):
Si (0.0000, 0.0000, 0.0000) (multiplicity 2)  4 W 2.56
W (0.0000, 0.0000, 0.6023) (multiplicity 2)  4 Si 2.56, 4 Br 2.84
Br (0.0000, 0.0000, 0.2441) (multiplicity 2)  4 W 2.84, 1 Si 3.06, 4 Br 3.14

(4)
A relaxed La3Y4Ho5 crystal. Source: the Alexandria database, functional GGA-PBE.

Calculated values
Final energy in eV per atom: -5.054
Total magnetic moment in μB per formula unit: 0.00
ΔH_f (0 K) in meV/atom: 239.8
N(E_F) in states/eV/atom: 1.708
ρ in g/cm3: 6.58

Unit cell a=16.0398 b=5.9938 c=9.3769 alpha=90.00 beta=116.65 gamma=90.00
With the nearest neighbours (Å) after each atom.
Space group C2/m (No. 12)
Symmetry-distinct sites (fractional):
La (0.0000, 0.0000, 0.0000) (multiplicity 2)  2 Ho 3.00
La (0.2089, 0.5000, 0.2336) (multiplicity 4)  3 Ho 3.07-3.25, 2 Y 3.34-3.39
Y (0.0809, 0.5000, 0.4392) (multiplicity 4)  2 Y 3.27-3.66, 1 La 3.39, 3 Ho 3.46-3.56
Y (0.2057, 0.5000, 0.8754) (multiplicity 4)  3 La 3.34-3.63, 2 Ho 3.62, 3 Y 3.66-3.67
Ho (0.0000, 0.5000, 0.0000) (multiplicity 2)  4 La 3.00-3.07
Ho (0.0731, 0.0000, 0.6956) (multiplicity 4)  2 La 3.25-3.54, 2 Ho 3.35-3.64, 2 Y 3.62
Ho (0.1712, 0.0000, 0.3877) (multiplicity 4)  4 La 3.19-3.50, 3 Y 3.46-3.56

(5)
A relaxed Zr2BeIr2 crystal. Source: the Alexandria database, functional GGA-PBE.

Calculated values
Final energy in eV per atom: -8.273
Total magnetic moment in μB per formula unit: 0.00
ΔH_f (0 K) in meV/atom: -563.8
N(E_F) in states/eV/atom: 0.473
ρ in g/cm3: 10.88

Unit cell a=5.6282 b=11.4123 c=5.4729 alpha=90.00 beta=90.00 gamma=90.00
With the nearest neighbours (Å) after each atom.
Space group Ibam (No. 72)
Symmetry-distinct sites (fractional):
Zr (0.1709, 0.1359, 0.0000) (multiplicity 8)  5 Ir 2.68-2.95, 2 Be 2.78
Be (0.0000, 0.5000, 0.2500) (multiplicity 4)  4 Ir 2.28
Ir (0.1952, 0.3722, 0.0000) (multiplicity 8)  2 Be 2.28

(6)
A relaxed ThCdInI6 crystal. Source: the Alexandria database, functional GGA-PBE.

Calculated values
Final energy in eV per atom: -3.051
Total magnetic moment in μB per formula unit: 0.00
N(E_F) in states/eV/atom: 0.579
ρ in g/cm3: 4.84

Unit cell a=8.2580 b=8.2580 c=14.1685 alpha=90.00 beta=90.00 gamma=120.00
With the nearest neighbours (Å) after each atom.
Space group P-31c (No. 163)
Symmetry-distinct sites (fractional):
Th (0.3333, 0.6667, 0.2500) (multiplicity 2)  6 I 3.09
Cd (0.0000, 0.0000, 0.0000) (multiplicity 2)  6 I 3.32
In (0.3333, 0.6667, 0.7500) (multiplicity 2)  6 I 3.43
I (0.0323, 0.3564, 0.1241) (multiplicity 12)  1 Th 3.09, 1 Cd 3.32, 1 In 3.43

(7)
A relaxed RbZnCrPb2 crystal. Source: the Alexandria database, functional GGA-PBE.

Calculated values
Final energy in eV per atom: -3.342
Total magnetic moment in μB per formula unit: 2.48
ΔH_f (0 K) in meV/atom: 514.0
N(E_F) in states/eV/atom: 0.418
ρ in g/cm3: 5.53

Unit cell a=5.2596 b=5.2596 c=6.7031 alpha=90.00 beta=90.00 gamma=90.00
With the nearest neighbours (Å) after each atom.
Space group P4/mmm (No. 123)
Symmetry-distinct sites (fractional):
Rb (0.0000, 0.0000, 0.0000) (multiplicity 1)  2 Cr 3.35, 4 Zn 3.72
Zn (0.5000, 0.5000, 0.0000) (multiplicity 1)  4 Rb 3.72
Cr (0.0000, 0.0000, 0.5000) (multiplicity 1)  4 Pb 2.63
Pb (0.0000, 0.5000, 0.5000) (multiplicity 2)  2 Cr 2.63

(8)
A relaxed Rb3Tl5Cd6 crystal. Source: the Alexandria database, functional GGA-PBE.

Calculated values
Final energy in eV per atom: -1.491
Total magnetic moment in μB per formula unit: 0.00
ΔH_f (0 K) in meV/atom: -46.9
N(E_F) in states/eV/atom: 0.484
ρ in g/cm3: 7.08

Unit cell a=5.1970 b=15.1634 c=11.6297 alpha=90.00 beta=90.00 gamma=90.00
With the nearest neighbours (Å) after each atom.
Space group Pmmn (No. 59, origin choice 2)
Symmetry-distinct sites (fractional):
Rb (0.2500, 0.0610, 0.2483) (multiplicity 4)  6 Cd 3.72-3.84, 8 Tl 3.74-3.98
Rb (0.2500, 0.7500, 0.2543) (multiplicity 2)  8 Cd 3.72-4.14, 2 Tl 3.84
Tl (0.2500, 0.0662, 0.5904) (multiplicity 4)  5 Cd 3.13-3.29
Tl (0.2500, 0.6019, 0.9863) (multiplicity 4)  5 Cd 3.08-3.44, 1 Tl 3.21
Tl (0.2500, 0.7500, 0.7894) (multiplicity 2)  2 Tl 3.21, 4 Cd 3.30-3.35
Cd (0.2500, 0.0886, 0.8718) (multiplicity 4)  1 Cd 3.05, 4 Tl 3.08-3.29
Cd (0.2500, 0.2500, 0.0282) (multiplicity 2)  2 Cd 3.05, 2 Tl 3.35
Cd (0.2500, 0.2500, 0.4681) (multiplicity 2)  4 Cd 3.07, 2 Tl 3.13
Cd (0.2500, 0.6427, 0.5421) (multiplicity 4)  3 Cd 3.07-3.25, 4 Tl 3.22-3.30

(9)
A relaxed AcGdPd2 crystal. Source: the Alexandria database, functional GGA-PBE.

Calculated values
Final energy in eV per atom: -7.871
Total magnetic moment in μB per formula unit: 7.13
ΔH_f (0 K) in meV/atom: -727.3
N(E_F) in states/eV/atom: 0.989
ρ in g/cm3: 9.93

Unit cell a=7.3644 b=7.3644 c=7.3644 alpha=90.00 beta=90.00 gamma=90.00
With the nearest neighbours (Å) after each atom.
Space group Fm-3m (No. 225)
Symmetry-distinct sites (fractional):
Ac (0.0000, 0.0000, 0.0000) (multiplicity 4)  8 Pd 3.19
Gd (0.0000, 0.0000, 0.5000) (multiplicity 4)  8 Pd 3.19
Pd (0.2500, 0.2500, 0.2500) (multiplicity 8)  4 Gd 3.19, 4 Ac 3.19

(10)
A relaxed SrPdO3 crystal. Source: the Alexandria database, functional GGA-PBE.

Calculated values
Final energy in eV per atom: -5.395
Total magnetic moment in μB per formula unit: 0.00
N(E_F) in states/eV/atom: 0.048
ρ in g/cm3: 4.31

Unit cell a=6.8587 b=4.2249 c=7.1600 alpha=90.00 beta=116.07 gamma=90.00
With the nearest neighbours (Å) after each atom.
Space group P2_1/m (No. 11)
Symmetry-distinct sites (fractional):
Sr (0.0444, 0.2500, 0.2423) (multiplicity 2)  7 O 2.48-2.68
Pd (0.4753, 0.7500, 0.2499) (multiplicity 2)  3 O 1.93-2.02
O (0.1636, 0.7500, 0.1435) (multiplicity 2)  1 Pd 1.93
O (0.2184, 0.0828, 0.6448) (multiplicity 4)  1 O 1.41

(11)
A relaxed Mo3OsS crystal. Source: the Alexandria database, functional GGA-PBE.

Calculated values
Final energy in eV per atom: -7.727
Total magnetic moment in μB per formula unit: 0.00
N(E_F) in states/eV/atom: 1.669
ρ in g/cm3: 7.87

Unit cell a=4.7573 b=4.7573 c=4.7573 alpha=90.00 beta=90.00 gamma=90.00
With the nearest neighbours (Å) after each atom.
Space group Pm-3m (No. 221)
Symmetry-distinct sites (fractional):
Mo (0.0000, 0.0000, 0.5000) (multiplicity 3)  2 Os 2.38
Os (0.0000, 0.0000, 0.0000) (multiplicity 1)  6 Mo 2.38
S (0.5000, 0.5000, 0.5000) (multiplicity 1)  12 Mo 3.36

(12)
A relaxed MnZnCu2 crystal. Source: the Alexandria database, functional GGA-PBE.

Calculated values
Final energy in eV per atom: -4.562
Total magnetic moment in μB per formula unit: 3.01
ΔH_f (0 K) in meV/atom: 96.7
N(E_F) in states/eV/atom: 0.608
ρ in g/cm3: 8.00

Unit cell a=2.6449 b=2.6449 c=25.4361 alpha=90.00 beta=90.00 gamma=120.00
With the nearest neighbours (Å) after each atom.
Space group R3m (No. 160, hexagonal axes)
Symmetry-distinct sites (fractional):
Mn (0.0000, 0.0000, 0.0000) (multiplicity 3)  3 Cu 2.59, 6 Mn 2.64, 3 Zn 2.68
Zn (0.0000, 0.0000, 0.7533) (multiplicity 3)  3 Cu 2.61, 6 Zn 2.64, 3 Mn 2.68
Cu (0.0000, 0.0000, 0.2509) (multiplicity 3)  9 Cu 2.57-2.64, 3 Mn 2.59
Cu (0.0000, 0.0000, 0.5030) (multiplicity 3)  9 Cu 2.57-2.64, 3 Zn 2.61

Q: What is the formula in the second record?
A: BaCu2PdRh

Q: What is the ρ in the second record?
A: 6.77 g/cm3